(1)
Density functional theory data (GGA-PBE) for a geometry-optimized AcInSn3 structure.

Cell and atoms, written as POSCAR:
```
AcInSn3
1.0
6.893 0.000 0.000
0.000 10.318 0.000
0.000 0.000 8.761
Sn Ac In
12 4 4
direct
0.462 0.573 0.647 Sn
0.538 0.427 0.353 Sn
0.462 0.073 0.853 Sn
0.538 0.927 0.147 Sn
0.962 0.427 0.353 Sn
0.750 0.731 0.389 Sn
0.038 0.073 0.853 Sn
0.750 0.231 0.111 Sn
0.250 0.269 0.611 Sn
0.038 0.573 0.647 Sn
0.962 0.927 0.147 Sn
0.250 0.769 0.889 Sn
0.750 0.298 0.693 Ac
0.250 0.202 0.193 Ac
0.750 0.798 0.807 Ac
0.250 0.702 0.307 Ac
0.000 0.000 0.500 In
0.500 0.000 0.500 In
0.000 0.500 0.000 In
0.500 0.500 0.000 In
```

Values from the calculation:
E_form (eV/atom): -0.273
V (Å³ per cell): 623.07
Symmetry: No. 62
DOS at the Fermi energy (states/eV per atom): 0.585

=====

(2)
Density functional theory data (GGA-PBE) for a geometry-optimized AcIn3Sn3 structure.

Cell and atoms, written as POSCAR:
```
AcIn3Sn3
1.0
-6.451 -4.092 -0.923
2.865 -5.415 4.657
-2.903 3.308 5.631
In Sn Ac
6 6 2
direct
0.763 0.763 0.500 In
0.348 0.652 0.500 In
0.244 0.756 0.000 In
0.237 0.237 0.500 In
0.652 0.348 0.500 In
0.756 0.244 0.000 In
0.000 0.500 0.716 Sn
0.000 0.000 0.253 Sn
0.000 0.000 0.747 Sn
0.500 0.000 0.716 Sn
0.000 0.500 0.284 Sn
0.500 0.000 0.284 Sn
0.287 0.287 0.000 Ac
0.713 0.713 0.000 Ac
```

Values from the calculation:
E_form (eV/atom): -0.158
V (Å³ per cell): 423.25
Symmetry: No. 65
E above lowest polymorph (meV/atom): 40
DOS at the Fermi energy (states/eV per atom): 0.410

=====

(3)
Density functional theory data (GGA-PBE) for a geometry-optimized Ac3In2Sn structure.

Cell and atoms, written as POSCAR:
```
Ac3In2Sn
1.0
-6.916 0.303 0.901
-0.818 -5.265 -4.506
4.281 -4.208 7.228
In Ac Sn
4 6 2
direct
0.543 0.540 0.323 In
0.219 0.960 0.677 In
0.457 0.460 0.677 In
0.781 0.040 0.323 In
0.648 0.250 0.000 Ac
0.712 0.896 0.658 Ac
0.352 0.750 0.000 Ac
0.946 0.396 0.658 Ac
0.054 0.604 0.342 Ac
0.288 0.104 0.342 Ac
0.152 0.250 0.000 Sn
0.848 0.750 0.000 Sn
```

Values from the calculation:
E_form (eV/atom): -0.448
V (Å³ per cell): 413.66
Symmetry: No. 15
E above lowest polymorph (meV/atom): 6
DOS at the Fermi energy (states/eV per atom): 0.639

=====

(4)
Density functional theory data (GGA-PBE) for a geometry-optimized Ac3In4Sn4 structure.

Cell and atoms, written as POSCAR:
```
Ac3In4Sn4
1.0
-1.797 -3.680 2.903
-1.931 -1.822 -3.506
14.774 -5.698 -2.417
Sn Ac In
4 3 4
direct
0.185 0.685 0.370 Sn
0.547 0.547 0.093 Sn
0.815 0.315 0.630 Sn
0.453 0.453 0.907 Sn
0.358 0.858 0.715 Ac
0.000 0.000 0.000 Ac
0.642 0.142 0.285 Ac
0.745 0.745 0.490 In
0.255 0.255 0.510 In
0.092 0.592 0.184 In
0.908 0.408 0.816 In
```

Values from the calculation:
E_form (eV/atom): -0.374
V (Å³ per cell): 345.80
Symmetry: No. 71
DOS at the Fermi energy (states/eV per atom): 0.555

=====

(5)
Density functional theory data (GGA-PBE) for a geometry-optimized Ac6In2Sn structure.

Cell and atoms, written as POSCAR:
```
Ac6In2Sn
1.0
-6.482 -7.047 1.697
8.907 -2.827 2.692
-1.936 8.022 5.145
Ac In Sn
12 4 2
direct
0.714 0.384 0.671 Ac
0.555 0.732 0.823 Ac
0.286 0.616 0.329 Ac
0.803 0.252 0.055 Ac
0.909 0.732 0.177 Ac
0.286 0.957 0.671 Ac
0.091 0.268 0.823 Ac
0.197 0.748 0.945 Ac
0.197 0.252 0.449 Ac
0.714 0.043 0.329 Ac
0.445 0.268 0.177 Ac
0.803 0.748 0.551 Ac
0.354 0.000 0.354 In
0.646 0.000 0.646 In
0.500 0.625 0.125 In
0.500 0.375 0.875 In
0.000 0.500 0.500 Sn
0.000 0.000 0.000 Sn
```

Values from the calculation:
E_form (eV/atom): -0.329
V (Å³ per cell): 705.88
Symmetry: No. 71
DOS at the Fermi energy (states/eV per atom): 1.023

=====

(6)
Density functional theory data (GGA-PBE) for a geometry-optimized Ac3In2Sn structure.

Cell and atoms, written as POSCAR:
```
Ac3In2Sn
1.0
4.864 0.000 0.000
0.000 13.260 0.000
0.000 0.000 13.654
In Sn Ac
8 4 12
direct
0.750 0.009 0.691 In
0.250 0.509 0.809 In
0.750 0.306 0.513 In
0.250 0.991 0.309 In
0.750 0.491 0.191 In
0.750 0.194 0.013 In
0.250 0.694 0.487 In
0.250 0.806 0.987 In
0.250 0.369 0.631 Sn
0.750 0.869 0.869 Sn
0.750 0.631 0.369 Sn
0.250 0.131 0.131 Sn
0.250 0.059 0.878 Ac
0.750 0.941 0.122 Ac
0.750 0.300 0.790 Ac
0.250 0.381 0.055 Ac
0.750 0.881 0.445 Ac
0.250 0.119 0.555 Ac
0.750 0.200 0.290 Ac
0.250 0.700 0.210 Ac
0.750 0.559 0.622 Ac
0.250 0.800 0.710 Ac
0.250 0.441 0.378 Ac
0.750 0.619 0.945 Ac
```

Values from the calculation:
E_form (eV/atom): -0.454
V (Å³ per cell): 880.66
Symmetry: No. 62
E above lowest polymorph (meV/atom): 0
DOS at the Fermi energy (states/eV per atom): 0.981

=====

Summary of E in eV/cell
-80.9 -50.9 -49.0 -43.4 -74.2 -98.1
(order as listed above)